Compound: Ba3LaC2N6
Source: Alexandria
Functional: PBE
Structure: optimized geometry

The structure in POSCAR format:
```
Ba3LaC2N6
1.0
5.906 0.000 0.000
-2.953 5.114 0.000
0.000 0.000 7.083
Ba La C N
3 1 2 6
Direct
0.000 0.000 0.000
0.333 0.667 0.676
0.667 0.333 0.324
0.000 0.000 0.500
0.333 0.667 0.277
0.667 0.333 0.723
0.199 0.398 0.287
0.199 0.801 0.287
0.398 0.199 0.713
0.602 0.801 0.287
0.801 0.199 0.713
0.801 0.602 0.713
```

The total DFT energy (no corrections) comes out at -86.76 eV for the cell shown.